(1)
First-principles (PBE) data for crystalline DyTmCI at its relaxed geometry, as listed in Alexandria via LeMat-Bulk.

- Crystal system: trigonal
- Theoretical density: 8.78 Mg/m³
- Formation energy without anion corrections: -0.74 eV per atom

Structure (CIF):
```
data_DyTmCI
_cell_length_a 3.7367
_cell_length_b 3.7367
_cell_length_c 22.0649
_cell_angle_alpha 90.00
_cell_angle_beta 90.00
_cell_angle_gamma 120.00
_space_group_name_H-M_alt 'P 1'
_space_group_IT_number 1
loop_
_space_group_symop_operation_xyz
'x,y,z'
loop_
_atom_site_label
_atom_site_type_symbol
_atom_site_fract_x
_atom_site_fract_y
_atom_site_fract_z
_atom_site_occupancy
Dy1 Dy 0.0000 0.0000 0.0000 1
Dy2 Dy 0.3333 0.6667 0.6667 1
Dy3 Dy 0.6667 0.3333 0.3333 1
Tm1 Tm 0.0000 0.0000 0.2203 1
Tm2 Tm 0.3333 0.6667 0.8870 1
Tm3 Tm 0.6667 0.3333 0.5537 1
C1 C 0.0000 0.0000 0.6062 1
C2 C 0.3333 0.6667 0.2729 1
C3 C 0.6667 0.3333 0.9395 1
I1 I 0.0000 0.0000 0.7781 1
I2 I 0.3333 0.6667 0.4448 1
I3 I 0.6667 0.3333 0.1114 1
```

(2)
First-principles (PBE) data for crystalline BaNd5Te6 at its relaxed geometry, as listed in Alexandria via LeMat-Bulk.

- Crystal system: monoclinic
- Theoretical density: 6.67 Mg/m³
- Formation energy without anion corrections: -1.46 eV per atom

Structure (CIF):
```
data_BaNd5Te6
_cell_length_a 7.8938
_cell_length_b 7.8938
_cell_length_c 7.9527
_cell_angle_alpha 99.54
_cell_angle_beta 99.54
_cell_angle_gamma 120.07
_space_group_name_H-M_alt 'P 1'
_space_group_IT_number 1
loop_
_space_group_symop_operation_xyz
'x,y,z'
loop_
_atom_site_label
_atom_site_type_symbol
_atom_site_fract_x
_atom_site_fract_y
_atom_site_fract_z
_atom_site_occupancy
Ba1 Ba 0.0000 0.0000 0.0000 1
Nd1 Nd 0.1563 0.8437 0.5000 1
Nd2 Nd 0.3327 0.6673 0.0000 1
Nd3 Nd 0.5000 0.5000 0.5000 1
Nd4 Nd 0.6673 0.3327 0.0000 1
Nd5 Nd 0.8437 0.1563 0.5000 1
Te1 Te 0.0869 0.4346 0.2615 1
Te2 Te 0.2641 0.2641 0.7504 1
Te3 Te 0.4346 0.0869 0.2615 1
Te4 Te 0.5654 0.9131 0.7385 1
Te5 Te 0.7359 0.7359 0.2496 1
Te6 Te 0.9131 0.5654 0.7385 1
```

(3)
First-principles (PBE) data for crystalline La5NpSb6 at its relaxed geometry, as listed in Alexandria via LeMat-Bulk.

- Crystal system: monoclinic
- Theoretical density: 6.72 Mg/m³
- Formation energy without anion corrections: -1.08 eV per atom

Structure (CIF):
```
data_La5NpSb6
_cell_length_a 7.9539
_cell_length_b 7.9539
_cell_length_c 7.9546
_cell_angle_alpha 99.60
_cell_angle_beta 99.60
_cell_angle_gamma 120.02
_space_group_name_H-M_alt 'P 1'
_space_group_IT_number 1
loop_
_space_group_symop_operation_xyz
'x,y,z'
loop_
_atom_site_label
_atom_site_type_symbol
_atom_site_fract_x
_atom_site_fract_y
_atom_site_fract_z
_atom_site_occupancy
La1 La 0.0000 0.0000 0.0000 1
La2 La 0.1657 0.8343 0.5000 1
La3 La 0.3308 0.6692 0.0000 1
La4 La 0.6692 0.3308 0.0000 1
La5 La 0.8343 0.1657 0.5000 1
Np1 Np 0.5000 0.5000 0.5000 1
Sb1 Sb 0.0935 0.4188 0.2554 1
Sb2 Sb 0.2574 0.2574 0.7465 1
Sb3 Sb 0.4188 0.0935 0.2554 1
Sb4 Sb 0.5812 0.9065 0.7446 1
Sb5 Sb 0.7426 0.7426 0.2535 1
Sb6 Sb 0.9065 0.5812 0.7446 1
```

(4)
First-principles (PBE) data for crystalline SiNF at its relaxed geometry, as listed in Alexandria via LeMat-Bulk.

- Crystal system: trigonal
- Theoretical density: 2.70 Mg/m³
- Formation energy without anion corrections: -1.86 eV per atom

Structure (CIF):
```
data_SiNF
_cell_length_a 2.9177
_cell_length_b 2.9177
_cell_length_c 15.2642
_cell_angle_alpha 90.00
_cell_angle_beta 90.00
_cell_angle_gamma 120.00
_space_group_name_H-M_alt 'P 1'
_space_group_IT_number 1
loop_
_space_group_symop_operation_xyz
'x,y,z'
loop_
_atom_site_label
_atom_site_type_symbol
_atom_site_fract_x
_atom_site_fract_y
_atom_site_fract_z
_atom_site_occupancy
Si1 Si 0.0000 0.0000 0.0000 1
Si2 Si 0.3333 0.6667 0.6667 1
Si3 Si 0.6667 0.3333 0.3333 1
N1 N 0.0000 0.0000 0.6368 1
N2 N 0.3333 0.6667 0.3035 1
N3 N 0.6667 0.3333 0.9701 1
F1 F 0.0000 0.0000 0.1059 1
F2 F 0.3333 0.6667 0.7726 1
F3 F 0.6667 0.3333 0.4393 1
```

(5)
First-principles (PBE) data for crystalline Dy2Fe7 at its relaxed geometry, as listed in Alexandria via LeMat-Bulk.

- Crystal system: trigonal
- Formation enthalpy at 0 K: -0.05 eV per atom
- Theoretical density: 8.97 Mg/m³

Structure (CIF):
```
data_Dy2Fe7
_cell_length_a 12.3988
_cell_length_b 12.3988
_cell_length_c 12.3988
_cell_angle_alpha 23.44
_cell_angle_beta 23.44
_cell_angle_gamma 23.44
_space_group_name_H-M_alt 'P 1'
_space_group_IT_number 1
loop_
_space_group_symop_operation_xyz
'x,y,z'
loop_
_atom_site_label
_atom_site_type_symbol
_atom_site_fract_x
_atom_site_fract_y
_atom_site_fract_z
_atom_site_occupancy
Dy1 Dy 0.0514 0.0514 0.0514 1
Dy2 Dy 0.1490 0.1490 0.1490 1
Dy3 Dy 0.8510 0.8510 0.8510 1
Dy4 Dy 0.9486 0.9486 0.9486 1
Fe1 Fe 0.0000 0.5000 0.5000 1
Fe2 Fe 0.1104 0.6080 0.6080 1
Fe3 Fe 0.2795 0.2795 0.2795 1
Fe4 Fe 0.3867 0.3867 0.3867 1
Fe5 Fe 0.3920 0.3920 0.8896 1
Fe6 Fe 0.3920 0.8896 0.3920 1
Fe7 Fe 0.5000 0.0000 0.5000 1
Fe8 Fe 0.5000 0.5000 0.0000 1
Fe9 Fe 0.5000 0.5000 0.5000 1
Fe10 Fe 0.6080 0.1104 0.6080 1
Fe11 Fe 0.6080 0.6080 0.1104 1
Fe12 Fe 0.6133 0.6133 0.6133 1
Fe13 Fe 0.7205 0.7205 0.7205 1
Fe14 Fe 0.8896 0.3920 0.3920 1
```

(6)
First-principles (PBE) data for crystalline VCrSe2N at its relaxed geometry, as listed in Alexandria via LeMat-Bulk.

- Crystal system: tetragonal
- Energy above the lowest structure with this stoichiometry: 0 meV/atom
- Theoretical density: 5.10 Mg/m³
- Formation energy without anion corrections: 0.10 eV per atom

Structure (CIF):
```
data_VCrSe2N
_cell_length_a 4.9786
_cell_length_b 4.9786
_cell_length_c 3.6090
_cell_angle_alpha 90.00
_cell_angle_beta 90.00
_cell_angle_gamma 90.00
_space_group_name_H-M_alt 'P 1'
_space_group_IT_number 1
loop_
_space_group_symop_operation_xyz
'x,y,z'
loop_
_atom_site_label
_atom_site_type_symbol
_atom_site_fract_x
_atom_site_fract_y
_atom_site_fract_z
_atom_site_occupancy
V1 V 0.0000 0.0000 0.0000 1
Cr1 Cr 0.5000 0.5000 0.5000 1
Se1 Se 0.0000 0.5000 0.0000 1
Se2 Se 0.5000 0.0000 0.0000 1
N1 N 0.0000 0.0000 0.5000 1
```

(7)
First-principles (PBE) data for crystalline YCd11Hg at its relaxed geometry, as listed in Alexandria via LeMat-Bulk.

- Crystal system: monoclinic
- Formation enthalpy at 0 K: -0.07 eV per atom
- Theoretical density: 8.50 Mg/m³

Structure (CIF):
```
data_YCd11Hg
_cell_length_a 7.6426
_cell_length_b 7.6426
_cell_length_c 7.6366
_cell_angle_alpha 98.83
_cell_angle_beta 98.83
_cell_angle_gamma 133.51
_space_group_name_H-M_alt 'P 1'
_space_group_IT_number 1
loop_
_space_group_symop_operation_xyz
'x,y,z'
loop_
_atom_site_label
_atom_site_type_symbol
_atom_site_fract_x
_atom_site_fract_y
_atom_site_fract_z
_atom_site_occupancy
Y1 Y 0.0000 0.0000 0.0000 1
Cd1 Cd 0.0000 0.0000 0.5000 1
Cd2 Cd 0.0000 0.5000 0.0000 1
Cd3 Cd 0.0029 0.6513 0.6503 1
Cd4 Cd 0.2843 0.4970 0.7881 1
Cd5 Cd 0.3487 0.9971 0.3497 1
Cd6 Cd 0.4970 0.2843 0.7881 1
Cd7 Cd 0.5000 0.0000 0.0000 1
Cd8 Cd 0.5030 0.7157 0.2119 1
Cd9 Cd 0.6513 0.0029 0.6503 1
Cd10 Cd 0.7157 0.5030 0.2119 1
Cd11 Cd 0.9971 0.3487 0.3497 1
Hg1 Hg 0.5000 0.5000 0.5000 1
```

(8)
First-principles (PBE) data for crystalline Ac2AsPb at its relaxed geometry, as listed in Alexandria via LeMat-Bulk.

- Crystal system: tetragonal
- Formation enthalpy at 0 K: -0.83 eV per atom
- Energy above the lowest structure with this stoichiometry: 154 meV/atom
- Theoretical density: 9.48 Mg/m³

Structure (CIF):
```
data_Ac2AsPb
_cell_length_a 3.8792
_cell_length_b 3.8792
_cell_length_c 8.5691
_cell_angle_alpha 90.00
_cell_angle_beta 90.00
_cell_angle_gamma 90.00
_space_group_name_H-M_alt 'P 1'
_space_group_IT_number 1
loop_
_space_group_symop_operation_xyz
'x,y,z'
loop_
_atom_site_label
_atom_site_type_symbol
_atom_site_fract_x
_atom_site_fract_y
_atom_site_fract_z
_atom_site_occupancy
Ac1 Ac 0.0000 0.0000 0.2178 1
Ac2 Ac 0.0000 0.0000 0.7822 1
As1 As 0.5000 0.5000 0.0000 1
Pb1 Pb 0.5000 0.5000 0.5000 1
```